Here is a relaxed Tb3Sm2Sc2 crystal from the Alexandria database. Energies are from PBE.

The value obtained for the size of the total moment is 0.3 Bohr magnetons per cell. Its energy above the lowest structure with this stoichiometry is 0.167 eV/atom. Its calculated formation energy is 211.6 meV/atom.

The structure belongs to space group P2/m (No. 10); the cell edges are 3.393, 3.385 and 18.981 Å and the angles 90.00°, 95.10° and 90.00°. The distinct sites, in fractional coordinates, are Tb at (0.000, 0.000, 0.000), Tb at (0.289, 0.000, 0.581), Sm at (0.419, 0.000, 0.840) and Sc at (0.147, 0.500, 0.291).